{"formula": "Sc2HPd4Au2", "functional": "PBE-GGA", "state": "relaxed", "cell": [[-3.677, 1.531, -4.194], [-0.779, -4.960, 2.872], [0.039, 2.880, 5.016]], "species": ["Sc", "Sc", "H", "Pd", "Pd", "Pd", "Pd", "Au", "Au"], "frac_coords": [[0.000, 0.733, 0.733], [0.000, 0.267, 0.267], [0.000, 0.000, 0.000], [0.000, 0.751, 0.249], [0.502, 0.751, 0.751], [0.000, 0.249, 0.751], [0.498, 0.249, 0.249], [0.500, 0.750, 0.250], [0.500, 0.250, 0.750]], "sg": "I4/mmm (139)", "dft_energy_ev_per_cell": -49.513}

---

{"formula": "HfNpGa2", "functional": "PBE-GGA", "state": "relaxed", "cell": [[-1.793, 2.126, -1.163], [-2.121, -2.077, -0.525], [-3.314, 1.431, 7.727]], "species": ["Np", "Hf", "Ga", "Ga"], "frac_coords": [[0.500, 0.500, 0.500], [0.500, 0.500, 0.000], [0.000, 0.000, 0.765], [0.000, 0.000, 0.235]], "sg": "P4/mmm (123)", "de_polymorph_kj_per_mol_atoms": 0.00, "delta_e_f_ev_per_atom": -0.224}

---

| no. | N(E_F) (states/eV/f.u.) |
| --- | --- |
| 1 | 3.71 |
| 2 | 5.80 |